A plane-wave DFT calculation with PBE was carried out for Sm3Er4Sc4 after structural relaxation.

Space-group type = Amm2
Magnetic moment = 0.00 μB per cell
Energy of formation = 0.150 eV/atom
Uncorrected energy = -5.098 eV/atom

Cell lengths 5.480, 6.483, 10.160 Å; angles 90.00, 90.00, 115.00 degrees
Fractional coordinates of all 11 atoms:
Sc 0.894 0.787 0.500
Sc 0.948 0.896 0.000
Sc 0.761 0.522 0.786
Sc 0.761 0.522 0.214
Er 0.096 0.192 0.282
Er 0.557 0.114 0.000
Er 0.631 0.262 0.500
Er 0.096 0.192 0.718
Sm 0.258 0.515 0.000
Sm 0.399 0.797 0.305
Sm 0.399 0.797 0.695